VASP calculation (PBE) on a geometry-optimized Sm2U2S7 structure.

a = 3.9464 Å, b = 8.5152 Å, c = 8.5152 Å
α = 60.44°, β = 76.60°, γ = 76.60°
With the nearest neighbours (Å) after each atom.
Sites, in units of the cell vectors:
U 0.5000 0.3342 0.6658  7 S 2.74-2.80
S 0.8185 0.0670 0.2959  1 U 2.71, 3 Sm 2.74-2.81
S 0.1302 0.1514 0.5881  2 U 2.74, 2 Sm 3.03
S 0.3940 0.7158 0.4962  3 U 2.80-2.90, 2 Sm 2.94, 1 S 3.00
Sm 0.7406 0.8437 0.6751  7 S 2.74-3.03
Sm 0.2594 0.3249 0.1563  7 S 2.74-3.03
U 0.0000 0.7856 0.2144  8 S 2.71-2.90
S 0.6060 0.5038 0.2842  3 U 2.80-2.90, 2 Sm 2.94, 1 S 3.00
S 0.8698 0.4119 0.8486  2 U 2.74, 2 Sm 3.03
S 0.1815 0.7041 0.9330  1 U 2.71, 3 Sm 2.74-2.81
S 0.5000 0.0116 0.9884  3 U 2.77



VASP calculation (PBE) on a geometry-optimized Sm2US5 structure.

## Properties
Offset from the most stable computed form (eV per atom): 0.000

a = 7.4610 Å, b = 8.0003 Å, c = 11.8825 Å
α = 90.00°, β = 90.00°, γ = 90.00°
With the nearest neighbours (Å) after each atom.
Sites, in units of the cell vectors:
U 0.5716 0.7500 0.4915  7 S 2.65-2.87
S 0.3396 0.5424 0.5977  2 U 2.65-2.71, 2 Sm 2.87-2.89
S 0.5443 0.7500 0.9998  1 U 2.87, 4 Sm 2.91-2.95, 1 S 3.19
S 0.4557 0.2500 0.0002  1 U 2.87, 4 Sm 2.91-2.95, 1 S 3.19
S 0.8396 0.4576 0.9023  2 U 2.65-2.71, 2 Sm 2.87-2.89
S 0.0443 0.2500 0.5002  1 U 2.87, 4 Sm 2.91-2.95, 1 S 3.19
Sm 0.4795 0.4991 0.8222  8 S 2.87-3.05
S 0.6604 0.4576 0.4023  2 U 2.65-2.71, 2 Sm 2.87-2.89
S 0.1988 0.2500 0.7853  1 U 2.82, 4 Sm 2.89-2.92
Sm 0.5205 0.5009 0.1778  8 S 2.87-3.05
U 0.0716 0.2500 0.0085  7 S 2.65-2.87
Sm 0.0205 0.0009 0.3222  8 S 2.87-3.05
S 0.9557 0.7500 0.4998  1 U 2.87, 4 Sm 2.91-2.95, 1 S 3.19
S 0.1724 0.7500 0.8146  1 U 2.78, 4 Sm 2.95-3.05
S 0.8012 0.7500 0.2147  1 U 2.82, 4 Sm 2.89-2.92
U 0.9284 0.7500 0.9915  7 S 2.65-2.87
S 0.6988 0.7500 0.7147  1 U 2.82, 4 Sm 2.89-2.92
Sm 0.9795 0.9991 0.6778  8 S 2.87-3.05
Sm 0.9795 0.5009 0.6778  8 S 2.87-3.05
Sm 0.4795 0.0009 0.8222  8 S 2.87-3.05
S 0.1604 0.5424 0.0977  2 U 2.65-2.71, 2 Sm 2.87-2.89
U 0.4284 0.2500 0.5085  7 S 2.65-2.87
S 0.3012 0.2500 0.2853  1 U 2.82, 4 Sm 2.89-2.92
S 0.8276 0.2500 0.1854  1 U 2.78, 4 Sm 2.95-3.05
S 0.3276 0.7500 0.3146  1 U 2.78, 4 Sm 2.95-3.05
S 0.3396 0.9576 0.5977  2 U 2.65-2.71, 2 Sm 2.87-2.89
Sm 0.5205 0.9991 0.1778  8 S 2.87-3.05
S 0.8396 0.0424 0.9023  2 U 2.65-2.71, 2 Sm 2.87-2.89
Sm 0.0205 0.4991 0.3222  8 S 2.87-3.05
S 0.1604 0.9576 0.0977  2 U 2.65-2.71, 2 Sm 2.87-2.89
S 0.6724 0.2500 0.6854  1 U 2.78, 4 Sm 2.95-3.05
S 0.6604 0.0424 0.4023  2 U 2.65-2.71, 2 Sm 2.87-2.89



VASP calculation (PBE) on a geometry-optimized Sm3US4 structure.

a = 3.9483 Å, b = 6.9043 Å, c = 6.9043 Å
α = 109.13°, β = 90.00°, γ = 90.00°
With the nearest neighbours (Å) after each atom.
Sites, in units of the cell vectors:
Sm 0.0000 0.5000 0.0000  6 S 2.81
Sm 0.5000 0.5000 0.5000  6 S 2.85
S 0.0000 0.7561 0.7561  2 U 2.78, 4 Sm 2.81-2.85
S 0.5000 0.7533 0.2467  1 U 2.78, 5 Sm 2.81-2.85
Sm 0.0000 0.0000 0.5000  6 S 2.81
S 0.0000 0.2439 0.2439  2 U 2.78, 4 Sm 2.81-2.85
S 0.5000 0.2467 0.7533  1 U 2.78, 5 Sm 2.81-2.85
U 0.5000 0.0000 0.0000  6 S 2.78



VASP calculation (PBE) on a geometry-optimized SmU2S4 structure.

a = 3.7894 Å, b = 6.7690 Å, c = 13.2270 Å
α = 90.00°, β = 90.00°, γ = 106.25°
With the nearest neighbours (Å) after each atom.
Sites, in units of the cell vectors:
U 0.8648 0.7296 0.5650  6 S 2.72-2.76
U 0.1352 0.2704 0.4350  6 S 2.72-2.76
U 0.1352 0.2704 0.0650  6 S 2.72-2.76
S 0.0427 0.0854 0.2500  2 U 2.73, 2 Sm 2.82
S 0.2230 0.4460 0.8748  3 U 2.76, 2 Sm 2.86
S 0.5000 0.0000 0.5000  4 U 2.72
Sm 0.6175 0.2351 0.7500  6 S 2.82-2.86
S 0.7770 0.5540 0.3748  3 U 2.76, 2 Sm 2.86
U 0.8648 0.7296 0.9350  6 S 2.72-2.76
S 0.7770 0.5540 0.1252  3 U 2.76, 2 Sm 2.86
S 0.5000 0.0000 0.0000  4 U 2.72
S 0.2230 0.4460 0.6252  3 U 2.76, 2 Sm 2.86
S 0.9573 0.9146 0.7500  2 U 2.73, 2 Sm 2.82
Sm 0.3825 0.7649 0.2500  6 S 2.82-2.86



VASP calculation (PBE) on a geometry-optimized Sm6US12 structure.

a = 7.9787 Å, b = 7.9787 Å, c = 7.9787 Å
α = 98.70°, β = 98.70°, γ = 98.70°
With the nearest neighbours (Å) after each atom.
Sites, in units of the cell vectors:
Sm 0.6791 0.8561 0.3667  6 S 2.74-2.98
Sm 0.3209 0.1439 0.6333  6 S 2.74-2.98
S 0.8235 0.5729 0.4175  4 Sm 2.74-2.85
S 0.6825 0.9317 0.0281  1 U 2.56, 1 Sm 2.86
S 0.5825 0.1765 0.4271  4 Sm 2.74-2.85
Sm 0.8561 0.3667 0.6791  6 S 2.74-2.98
S 0.5729 0.4175 0.8235  4 Sm 2.74-2.85
S 0.4175 0.8235 0.5729  4 Sm 2.74-2.85
S 0.0683 0.9719 0.3175  1 U 2.56, 1 Sm 2.86
Sm 0.1439 0.6333 0.3209  6 S 2.74-2.98
Sm 0.6333 0.3209 0.1439  6 S 2.74-2.98
S 0.4271 0.5825 0.1765  4 Sm 2.74-2.85
S 0.9317 0.0281 0.6825  1 U 2.56, 1 Sm 2.86
S 0.9719 0.3175 0.0683  1 U 2.56, 1 Sm 2.86
U 0.0000 0.0000 0.0000  6 S 2.56
S 0.0281 0.6825 0.9317  1 U 2.56, 1 Sm 2.86
S 0.1765 0.4271 0.5825  4 Sm 2.74-2.85
S 0.3175 0.0683 0.9719  1 U 2.56, 1 Sm 2.86
Sm 0.3667 0.6791 0.8561  6 S 2.74-2.98



VASP calculation (PBE) on a geometry-optimized SmU5S6 structure.

a = 6.7595 Å, b = 6.7595 Å, c = 6.7186 Å
α = 99.71°, β = 99.71°, γ = 120.23°
With the nearest neighbours (Å) after each atom.
Sites, in units of the cell vectors:
U 0.6671 0.3329 0.0000  6 S 2.74-2.75
S 0.5776 0.9154 0.7469  5 U 2.73-2.75, 1 Sm 2.79
S 0.0846 0.4224 0.2531  5 U 2.73-2.75, 1 Sm 2.79
S 0.4224 0.0846 0.2531  5 U 2.73-2.75, 1 Sm 2.79
Sm 0.0000 0.0000 0.0000  6 S 2.78-2.79
U 0.5000 0.5000 0.5000  6 S 2.72-2.75
S 0.2547 0.2547 0.7496  5 U 2.72-2.74, 1 Sm 2.78
S 0.9154 0.5776 0.7469  5 U 2.73-2.75, 1 Sm 2.79
U 0.8356 0.1644 0.5000  6 S 2.73-2.75
U 0.1644 0.8356 0.5000  6 S 2.73-2.75
S 0.7453 0.7453 0.2504  5 U 2.72-2.74, 1 Sm 2.78
U 0.3329 0.6671 0.0000  6 S 2.74-2.75



VASP calculation (PBE) on a geometry-optimized SmU6S8 structure.

a = 7.1027 Å, b = 7.1027 Å, c = 7.1027 Å
α = 84.24°, β = 84.24°, γ = 84.24°
With the nearest neighbours (Å) after each atom.
Sites, in units of the cell vectors:
U 0.3828 0.7863 0.5129  2 U 2.55, 4 S 2.69-2.77
S 0.0650 0.7543 0.3461  3 U 2.69-2.77, 1 Sm 2.92
S 0.7543 0.3461 0.0650  3 U 2.69-2.77, 1 Sm 2.92
U 0.7863 0.5129 0.3828  2 U 2.55, 4 S 2.69-2.77
S 0.6993 0.6993 0.6993  3 U 2.71
U 0.5129 0.3828 0.7863  2 U 2.55, 4 S 2.69-2.77
S 0.3007 0.3007 0.3007  3 U 2.71
S 0.3461 0.0650 0.7543  3 U 2.69-2.77, 1 Sm 2.92
U 0.2137 0.4871 0.6172  2 U 2.55, 4 S 2.69-2.77
U 0.6172 0.2137 0.4871  2 U 2.55, 4 S 2.69-2.77
S 0.2457 0.6539 0.9350  3 U 2.69-2.77, 1 Sm 2.92
U 0.4871 0.6172 0.2137  2 U 2.55, 4 S 2.69-2.77
S 0.6539 0.9350 0.2457  3 U 2.69-2.77, 1 Sm 2.92
S 0.9350 0.2457 0.6539  3 U 2.69-2.77, 1 Sm 2.92
Sm 0.0000 0.0000 0.0000  6 S 2.92



VASP calculation (PBE) on a geometry-optimized SmU3S6 structure.

a = 3.9078 Å, b = 10.9350 Å, c = 11.4312 Å
α = 107.58°, β = 90.00°, γ = 90.00°
With the nearest neighbours (Å) after each atom.
Sites, in units of the cell vectors:
S 0.7500 0.8053 0.7519  3 U 2.69-2.75, 1 Sm 2.93
S 0.2500 0.8797 0.5368  2 U 2.85, 3 Sm 2.90-2.96
U 0.7500 0.1539 0.0788  6 S 2.69-2.75
S 0.7500 0.9141 0.0987  3 U 2.70-2.75, 2 Sm 3.01
S 0.7500 0.1203 0.4632  2 U 2.85, 3 Sm 2.90-2.96
S 0.2500 0.1947 0.2481  3 U 2.69-2.75, 1 Sm 2.93
S 0.7500 0.3977 0.0633  4 U 2.72-2.74
U 0.2500 0.8461 0.9212  6 S 2.69-2.75
Sm 0.2500 0.9522 0.3071  8 S 2.90-3.01
U 0.7500 0.6821 0.5041  7 S 2.75-2.87
S 0.2500 0.6023 0.9367  4 U 2.72-2.74
S 0.2500 0.2585 0.7236  3 U 2.74-2.87, 2 Sm 2.96
Sm 0.7500 0.0478 0.6929  8 S 2.90-3.01
U 0.2500 0.3179 0.4959  7 S 2.75-2.87
S 0.2500 0.5131 0.3799  4 U 2.71-2.83
U 0.2500 0.5699 0.1652  6 S 2.71-2.74
S 0.2500 0.0859 0.9013  3 U 2.70-2.75, 2 Sm 3.01
U 0.7500 0.4301 0.8348  6 S 2.71-2.74
S 0.7500 0.4869 0.6201  4 U 2.71-2.83
S 0.7500 0.7415 0.2764  3 U 2.74-2.87, 2 Sm 2.96



VASP calculation (PBE) on a geometry-optimized Sm2US5 structure.

## Properties
Offset from the most stable computed form (eV per atom): 0.071

a = 5.3792 Å, b = 7.2531 Å, c = 13.3248 Å
α = 90.00°, β = 90.00°, γ = 111.77°
With the nearest neighbours (Å) after each atom.
Sites, in units of the cell vectors:
S 0.3084 0.6168 0.0790  1 U 2.75, 3 Sm 2.77-2.88
U 0.1941 0.3881 0.2500  6 S 2.62-2.77
S 0.2556 0.5112 0.7500  2 U 2.77, 2 Sm 2.93
Sm 0.1454 0.2908 0.5606  6 S 2.73-2.93
S 0.6916 0.3832 0.5790  1 U 2.75, 3 Sm 2.77-2.88
Sm 0.8546 0.7092 0.0606  6 S 2.73-2.93
S 0.9519 0.9038 0.6206  1 U 2.62, 2 Sm 2.73-2.75
S 0.9519 0.9038 0.8794  1 U 2.62, 2 Sm 2.73-2.75
Sm 0.1454 0.2908 0.9394  6 S 2.73-2.93
S 0.3084 0.6168 0.4210  1 U 2.75, 3 Sm 2.77-2.88
U 0.8059 0.6119 0.7500  6 S 2.62-2.77
S 0.6916 0.3832 0.9210  1 U 2.75, 3 Sm 2.77-2.88
S 0.0481 0.0962 0.3794  1 U 2.62, 2 Sm 2.73-2.75
S 0.0481 0.0962 0.1206  1 U 2.62, 2 Sm 2.73-2.75
S 0.7444 0.4888 0.2500  2 U 2.77, 2 Sm 2.93
Sm 0.8546 0.7092 0.4394  6 S 2.73-2.93



VASP calculation (PBE) on a geometry-optimized SmUS4 structure.

## Properties
Offset from the most stable computed form (eV per atom): 0.038

a = 4.1448 Å, b = 6.3199 Å, c = 6.3199 Å
α = 91.03°, β = 90.00°, γ = 90.00°
With the nearest neighbours (Å) after each atom.
Sites, in units of the cell vectors:
Sm 0.5000 0.0000 0.0000  6 S 2.77-2.85
S 0.5000 0.3161 0.6839  2 U 2.65, 1 Sm 2.85
S 0.5000 0.6839 0.3161  2 U 2.65, 1 Sm 2.85
S 0.0000 0.2076 0.2076  1 U 2.59, 2 Sm 2.77
S 0.0000 0.7924 0.7924  1 U 2.59, 2 Sm 2.77
U 0.0000 0.5000 0.5000  6 S 2.59-2.65



VASP calculation (PBE) on a geometry-optimized Sm2US3 structure.

a = 3.8935 Å, b = 3.8935 Å, c = 20.1669 Å
α = 90.00°, β = 90.00°, γ = 120.00°
With the nearest neighbours (Å) after each atom.
Sites, in units of the cell vectors:
S 0.3333 0.6667 0.1679  3 Sm 2.78, 3 U 2.79
S 0.6667 0.3333 0.6679  3 Sm 2.78, 3 U 2.79
S 0.3333 0.6667 0.3321  3 Sm 2.78, 3 U 2.79
S 0.0000 0.0000 0.5000  6 Sm 2.85
S 0.0000 0.0000 0.0000  6 Sm 2.85
Sm 0.6667 0.3333 0.4133  6 S 2.78-2.85
Sm 0.6667 0.3333 0.0867  6 S 2.78-2.85
Sm 0.3333 0.6667 0.9133  6 S 2.78-2.85
Sm 0.3333 0.6667 0.5867  6 S 2.78-2.85
S 0.6667 0.3333 0.8321  3 Sm 2.78, 3 U 2.79
U 0.0000 0.0000 0.7500  6 S 2.79
U 0.0000 0.0000 0.2500  6 S 2.79



VASP calculation (PBE) on a geometry-optimized Sm5U3S8 structure.

a = 7.8927 Å, b = 7.8927 Å, c = 7.9433 Å
α = 60.21°, β = 60.21°, γ = 60.00°
With the nearest neighbours (Å) after each atom.
Sites, in units of the cell vectors:
S 0.7500 0.7500 0.2562  2 U 2.76, 4 Sm 2.80-2.83
S 0.7500 0.2438 0.2562  2 U 2.76, 4 Sm 2.80-2.83
S 0.2473 0.2473 0.2582  3 U 2.77, 3 Sm 2.83
S 0.2438 0.7500 0.2562  2 U 2.76, 4 Sm 2.80-2.83
S 0.7527 0.7527 0.7418  3 U 2.77, 3 Sm 2.83
Sm 0.0000 0.5000 0.0000  6 S 2.83
S 0.2500 0.7562 0.7438  2 U 2.76, 4 Sm 2.80-2.83
Sm 0.5000 0.0000 0.0000  6 S 2.83
S 0.7562 0.2500 0.7438  2 U 2.76, 4 Sm 2.80-2.83
Sm 0.5000 0.5000 0.5000  6 S 2.80
U 0.5000 0.0000 0.5000  6 S 2.76-2.77
U 0.0000 0.0000 0.5000  6 S 2.76-2.77
Sm 0.5000 0.5000 0.0000  6 S 2.83
Sm 0.0000 0.0000 0.0000  6 S 2.80
U 0.0000 0.5000 0.5000  6 S 2.76-2.77
S 0.2500 0.2500 0.7438  2 U 2.76, 4 Sm 2.80-2.83



Short version: E_form (uncorrected) = -18.4, -14.6, -14.7, -10.8, -35.4, -17.6, -14.7, -15.1, -14.0, -9.0, -10.6, -28.0 eV/f.u., in the order given.